(1)
The following is a DFT calculation (PBE) of crystalline Rb3Al2Te4 at its relaxed geometry.

Calculated values
SG: C2/c
Crystal system: monoclinic
DFT total energy (eV/cell): -59.32
Spin magnetization (μB/cell): 0.00
Energy relative to the elements, uncorrected (eV per atom): -0.745

a b c (Å): 9.5279 9.5279 8.8001
angles (deg): 97.04 97.04 77.03
Sites, in units of the cell vectors:
Rb1 0.1055 0.8945 0.7500
Rb2 0.2322 0.4915 0.3947
Rb3 0.4915 0.2322 0.8947
Rb4 0.5085 0.7678 0.1053
Rb5 0.7678 0.5085 0.6053
Rb6 0.8945 0.1055 0.2500
Al1 0.0907 0.3274 0.9329
Al2 0.3274 0.0907 0.4329
Al3 0.6726 0.9093 0.5671
Al4 0.9093 0.6726 0.0671
Te1 0.1246 0.2344 0.6190
Te2 0.1863 0.5777 0.9949
Te3 0.2344 0.1246 0.1190
Te4 0.4223 0.8137 0.5051
Te5 0.5777 0.1863 0.4949
Te6 0.7656 0.8754 0.8810
Te7 0.8137 0.4223 0.0051
Te8 0.8754 0.7656 0.3810

***

(2)
The following is a DFT calculation (PBE) of crystalline Rb2AlTe at its relaxed geometry.

Calculated values
SG: Fm-3m
Crystal system: cubic
DFT total energy (eV/cell): -36.80
Spin magnetization (μB/cell): 4.00
Energy relative to the elements, uncorrected (eV per atom): -0.095

a b c (Å): 8.6859 8.6859 8.6859
angles (deg): 90.00 90.00 90.00
Sites, in units of the cell vectors:
Rb1 0.2500 0.2500 0.2500
Rb2 0.2500 0.2500 0.7500
Rb3 0.2500 0.7500 0.2500
Rb4 0.2500 0.7500 0.7500
Rb5 0.7500 0.2500 0.2500
Rb6 0.7500 0.2500 0.7500
Rb7 0.7500 0.7500 0.2500
Rb8 0.7500 0.7500 0.7500
Al1 0.0000 0.0000 0.0000
Al2 0.0000 0.5000 0.5000
Al3 0.5000 0.0000 0.5000
Al4 0.5000 0.5000 0.0000
Te1 0.0000 0.0000 0.5000
Te2 0.0000 0.5000 0.0000
Te3 0.5000 0.0000 0.0000
Te4 0.5000 0.5000 0.5000

***

(3)
The following is a DFT calculation (PBE) of crystalline RbAl2Te4 at its relaxed geometry.

Calculated values
SG: P1
Crystal system: triclinic
DFT total energy (eV/cell): -49.73
Spin magnetization (μB/cell): 0.00
Energy relative to the elements, uncorrected (eV per atom): -0.550

a b c (Å): 8.2618 8.9773 10.1658
angles (deg): 109.41 106.84 105.28
Sites, in units of the cell vectors:
Rb1 0.0000 0.0000 0.0000
Rb2 0.2585 0.7593 0.5152
Al1 0.0767 0.3508 0.8347
Al2 0.4977 0.3430 0.0654
Al3 0.5676 0.7221 0.0652
Al4 0.7585 0.4849 0.8346
Te1 0.0353 0.5988 0.7651
Te2 0.2591 0.1551 0.7782
Te3 0.3157 0.5463 0.1402
Te4 0.5174 0.2208 0.2675
Te5 0.5195 0.6242 0.7780
Te6 0.7307 0.1678 0.7654
Te7 0.7496 0.0454 0.2675
Te8 0.8245 0.5934 0.1402

***

(4)
The following is a DFT calculation (PBE) of crystalline RbAlTe4 at its relaxed geometry.

Calculated values
SG: C2/c
Crystal system: monoclinic
DFT total energy (eV/cell): -40.39
Spin magnetization (μB/cell): 0.00
Energy relative to the elements, uncorrected (eV per atom): -0.487

a b c (Å): 11.2035 11.2035 6.6406
angles (deg): 99.75 99.75 137.64
Sites, in units of the cell vectors:
Rb1 0.0868 0.9132 0.7500
Rb2 0.9132 0.0868 0.2500
Al1 0.4972 0.5028 0.7500
Al2 0.5028 0.4972 0.2500
Te1 0.1934 0.6099 0.5165
Te2 0.2287 0.3709 0.8944
Te3 0.3709 0.2287 0.3944
Te4 0.3901 0.8066 0.9835
Te5 0.6099 0.1934 0.0165
Te6 0.6291 0.7713 0.6056
Te7 0.7713 0.6291 0.1056
Te8 0.8066 0.3901 0.4835

***

(5)
The following is a DFT calculation (PBE) of crystalline RbAlTe at its relaxed geometry.

Calculated values
SG: P4/nmm
Crystal system: tetragonal
DFT total energy (eV/cell): -17.15
Spin magnetization (μB/cell): 0.00
Energy relative to the elements, uncorrected (eV per atom): -0.241

a b c (Å): 5.5561 5.5561 7.6233
angles (deg): 90.00 90.00 90.00
Sites, in units of the cell vectors:
Rb1 0.2500 0.2500 0.1683
Rb2 0.7500 0.7500 0.8317
Al1 0.2500 0.7500 0.5000
Al2 0.7500 0.2500 0.5000
Te1 0.2500 0.2500 0.6755
Te2 0.7500 0.7500 0.3245

***

(6)
The following is a DFT calculation (PBE) of crystalline Rb2ThAlTe5 at its relaxed geometry.

Calculated values
SG: Cmc2_1
Crystal system: orthorhombic
DFT total energy (eV/cell): -73.38
Spin magnetization (μB/cell): 0.00
Energy relative to the elements, uncorrected (eV per atom): -0.876

a b c (Å): 11.4749 11.4749 16.1621
angles (deg): 90.00 90.00 158.54
Sites, in units of the cell vectors:
Rb1 0.1212 0.8788 0.5000
Rb2 0.1363 0.8637 0.8651
Rb3 0.8637 0.1363 0.3651
Rb4 0.8788 0.1212 0.0000
Th1 0.2006 0.7994 0.2008
Th2 0.7994 0.2006 0.7008
Al1 0.4271 0.5729 0.5922
Al2 0.5729 0.4271 0.0922
Te1 0.0543 0.9457 0.1907
Te2 0.3071 0.6929 0.8363
Te3 0.3108 0.6892 0.5544
Te4 0.3361 0.6639 0.1798
Te5 0.4869 0.5131 0.4551
Te6 0.5131 0.4869 0.9551
Te7 0.6639 0.3361 0.6798
Te8 0.6892 0.3108 0.0544
Te9 0.6929 0.3071 0.3363
Te10 0.9457 0.0543 0.6907

***

Question: Which of these has the lowest DFT total energy?
Answer: Rb2ThAlTe5

***

Question: Look up the spin magnetization of the second one.
Answer: 4.00 μB/cell

***

Question: Which value of DFT total energy does entry 4 give?
Answer: -40.39 eV/cell

***

Question: spin magnetization of number 2 (Rb2AlTe)?
Answer: 4.00 μB/cell